# 1
# GGA-PBE CaTbPt, optimized geometry
# Final energy   -5.05 eV per atom
# V   77.70 Å³/f.u.
# Formation enthalpy at 0 K   -0.82 eV per atom
data_CaTbPt
_chemical_formula_sum 'Ca12 Tb12 Pt12'
_cell_length_a 9.2194
_cell_length_b 13.2286
_cell_length_c 7.6448
_cell_angle_alpha 90.00
_cell_angle_beta 90.00
_cell_angle_gamma 90.00
_space_group_name_H-M_alt 'I m a 2'
_space_group_IT_number 46
loop_
_space_group_symop_operation_xyz
'x,y,z'
'-x,-y,z'
'-x+1/2,y,z'
'x+1/2,-y,z'
'x+1/2,y+1/2,z+1/2'
'-x+1/2,-y+1/2,z+1/2'
'-x,y+1/2,z+1/2'
'x,-y+1/2,z+1/2'
loop_
_atom_site_label
_atom_site_type_symbol
_atom_site_fract_x
_atom_site_fract_y
_atom_site_fract_z
Ca1 Ca 0.2500 0.9998 0.0000
Ca2 Ca 0.2500 0.2063 0.6195
Ca3 Ca 0.2500 0.7067 0.1187
Tb1 Tb 0.0000 0.0000 0.6689
Tb2 Tb 0.0003 0.1284 0.2849
Pt1 Pt 0.0004 0.1664 0.9131
Pt2 Pt 0.2500 0.9997 0.4126

---

# 2
# GGA-PBE Sc4FeCl5, optimized geometry
# Final energy   -5.84 eV per atom
# V   222.09 Å³/f.u.
# Uncorrected formation energy   -1541.0 meV/atom
data_Sc4FeCl5
_chemical_formula_sum 'Sc32 Fe8 Cl40'
_cell_length_a 10.7147
_cell_length_b 10.7147
_cell_length_c 15.4762
_cell_angle_alpha 90.00
_cell_angle_beta 90.00
_cell_angle_gamma 90.00
_space_group_name_H-M_alt 'P 42/n n m'
_space_group_IT_number 134
loop_
_space_group_symop_operation_xyz
'x,y,z'
'-x,-y,-z'
'-y+1/2,x,z+1/2'
'y+1/2,-x,-z+1/2'
'-x+1/2,-y+1/2,z'
'x+1/2,y+1/2,-z'
'y,-x+1/2,z+1/2'
'-y,x+1/2,-z+1/2'
'x,-y+1/2,-z+1/2'
'-x,y+1/2,z+1/2'
'-y+1/2,-x+1/2,-z'
'y+1/2,x+1/2,z'
'-x+1/2,y,-z+1/2'
'x+1/2,-y,z+1/2'
'y,x,-z'
'-y,-x,z'
loop_
_atom_site_label
_atom_site_type_symbol
_atom_site_fract_x
_atom_site_fract_y
_atom_site_fract_z
Sc1 Sc 0.0763 0.1339 0.1731
Sc2 Sc 0.1164 0.6164 0.8453
Sc3 Sc 0.1368 0.6368 0.5223
Fe1 Fe 0.1498 0.6498 0.6810
Cl1 Cl 0.1046 0.6046 0.3378
Cl2 Cl 0.1154 0.1154 0.0000
Cl3 Cl 0.1277 0.6277 0.0184
Cl4 Cl 0.1301 0.1445 0.6638